{
  "formula": "CsHoCd2Cl8",
  "functional": "GGA-PBE",
  "state": "relaxed",
  "cell": [[6.571, 0.815, 0.778], [0.873, 6.638, 0.924], [1.073, 1.283, 9.377]],
  "species": ["Cl", "Cl", "Cl", "Cl", "Cl", "Cl", "Cl", "Cl", "Cs", "Cd", "Cd", "Ho"],
  "frac_coords": [[0.616, 0.707, 0.473], [0.167, 0.716, 0.222], [0.384, 0.293, 0.527], [0.729, 0.764, 0.031], [0.258, 0.799, 0.802], [0.833, 0.284, 0.778], [0.271, 0.236, 0.969], [0.742, 0.201, 0.198], [0.000, 0.000, 0.500], [0.547, 0.555, 0.278], [0.453, 0.445, 0.722], [0.000, 0.000, 0.000]],
  "crystal_system": "triclinic",
  "vol_a3_per_cell": 391,
  "spacegroup": "No. 2",
  "e_form_raw_ev_per_atom": -1.611
}